{
  "formula": "TiS",
  "functional": "PBE",
  "state": "optimized geometry",
  "mass_density_g_cm3": 3.425,
  "vol_a3_per_cell": 310,
  "formation_energy_uncorrected_mev_per_atom": -1134,
  "dos_at_fermi_per_ev_atom": 0.758,
  "lattice_angstrom": [[-1.537, 2.099, 9.044], [-9.230, 0.648, -1.719], [-0.374, -3.404, 0.726]],
  "species": ["S", "S", "S", "Ti", "Ti", "Ti", "Ti", "Ti", "S", "S", "S", "S", "Ti", "Ti", "Ti", "S"],
  "fractional_positions": [[0.280, 0.402, 0.000], [0.720, 0.598, 0.000], [0.598, 0.280, 0.000], [0.124, 0.333, 0.500], [0.333, 0.876, 0.500], [0.833, 0.376, 0.000], [0.624, 0.833, 0.000], [0.376, 0.167, 0.000], [0.098, 0.780, 0.500], [0.902, 0.220, 0.500], [0.780, 0.902, 0.500], [0.220, 0.098, 0.500], [0.876, 0.667, 0.500], [0.167, 0.624, 0.000], [0.667, 0.124, 0.500], [0.402, 0.720, 0.000]]
}



{
  "formula": "TiS3",
  "functional": "PBE",
  "state": "optimized geometry",
  "mass_density_g_cm3": 2.920,
  "vol_a3_per_cell": 164,
  "formation_energy_uncorrected_mev_per_atom": -968,
  "dos_at_fermi_per_ev_atom": 0.013,
  "lattice_angstrom": [[-1.197, 0.191, -3.198], [2.528, -4.176, -1.196], [-8.790, -3.202, 3.097]],
  "species": ["Ti", "S", "S", "S", "Ti", "S", "S", "S"],
  "fractional_positions": [[0.250, 0.320, 0.640], [0.250, 0.773, 0.546], [0.750, 0.195, 0.798], [0.750, 0.601, 0.798], [0.750, 0.680, 0.360], [0.250, 0.399, 0.202], [0.750, 0.227, 0.454], [0.250, 0.805, 0.202]]
}



{
  "formula": "Ti5S8",
  "functional": "PBE",
  "state": "optimized geometry",
  "polymorph_energy_mev_per_atom": 27,
  "mass_density_g_cm3": 3.341,
  "vol_a3_per_cell": 246,
  "formation_energy_uncorrected_mev_per_atom": -1363,
  "dos_at_fermi_per_ev_atom": 0.679,
  "lattice_angstrom": [[-0.454, -1.434, 3.066], [-0.337, -5.357, -2.555], [11.910, -2.944, 0.387]],
  "species": ["Ti", "S", "S", "S", "S", "Ti", "Ti", "S", "Ti", "S", "S", "S", "Ti"],
  "fractional_positions": [[0.000, 0.502, 0.513], [0.500, 0.699, 0.395], [0.500, 0.133, 0.103], [0.500, 0.869, 0.868], [0.000, 0.631, 0.110], [0.000, 0.990, 0.992], [0.500, 0.005, 0.505], [0.500, 0.284, 0.631], [0.500, 0.508, 0.992], [0.000, 0.204, 0.391], [0.000, 0.372, 0.865], [0.000, 0.806, 0.632], [0.500, 0.585, 0.736]]
}



{
  "formula": "TiS2",
  "functional": "PBE",
  "state": "optimized geometry",
  "mass_density_g_cm3": 2.876,
  "vol_a3_per_cell": 129,
  "formation_energy_uncorrected_mev_per_atom": -1136,
  "lattice_angstrom": [[-3.165, -1.009, -0.355], [1.675, -0.708, 2.803], [-4.263, 11.457, 5.442]],
  "species": ["S", "S", "S", "Ti", "Ti", "S"],
  "fractional_positions": [[0.667, 0.333, 0.137], [0.667, 0.333, 0.363], [0.333, 0.667, 0.863], [0.667, 0.333, 0.750], [0.333, 0.667, 0.250], [0.333, 0.667, 0.637]]
}



{
  "formula": "Ti13S24",
  "functional": "PBE",
  "state": "optimized geometry",
  "mass_density_g_cm3": 3.218,
  "vol_a3_per_cell": 718,
  "formation_energy_uncorrected_mev_per_atom": -1320,
  "dos_at_fermi_per_ev_atom": 0.388,
  "lattice_angstrom": [[9.042, 0.010, 0.015], [1.308, 8.957, 0.017], [-3.879, -3.351, 8.857]],
  "species": ["S", "Ti", "S", "S", "Ti", "S", "S", "S", "S", "Ti", "S", "S", "S", "S", "S", "Ti", "S", "Ti", "S", "S", "Ti", "Ti", "S", "Ti", "S", "Ti", "S", "Ti", "S", "S", "Ti", "S", "S", "Ti", "S", "Ti", "S"],
  "fractional_positions": [[0.532, 0.702, 0.576], [0.510, 0.494, 0.333], [0.210, 0.549, 0.587], [0.960, 0.796, 0.419], [0.000, 0.500, 0.000], [0.790, 0.451, 0.413], [0.288, 0.952, 0.413], [0.535, 0.702, 0.246], [0.286, 0.953, 0.081], [0.996, 0.999, 0.661], [0.956, 0.791, 0.083], [0.207, 0.540, 0.249], [0.714, 0.047, 0.919], [0.468, 0.298, 0.424], [0.207, 0.540, 0.915], [0.752, 0.245, 0.497], [0.714, 0.044, 0.254], [0.000, 0.000, 0.000], [0.532, 0.703, 0.913], [0.793, 0.460, 0.751], [0.748, 0.251, 0.833], [0.252, 0.749, 0.167], [0.039, 0.200, 0.247], [0.248, 0.755, 0.503], [0.044, 0.209, 0.917], [0.500, 0.500, 0.000], [0.040, 0.204, 0.581], [0.755, 0.241, 0.168], [0.961, 0.800, 0.753], [0.468, 0.297, 0.087], [0.245, 0.759, 0.832], [0.465, 0.298, 0.754], [0.712, 0.048, 0.587], [0.490, 0.506, 0.667], [0.793, 0.460, 0.085], [0.004, 0.001, 0.339], [0.286, 0.956, 0.746]]
}



{
  "formula": "TiS",
  "functional": "PBE",
  "state": "optimized geometry",
  "mass_density_g_cm3": 2.660,
  "vol_a3_per_cell": 299,
  "formation_energy_uncorrected_mev_per_atom": -841,
  "dos_at_fermi_per_ev_atom": 1.006,
  "lattice_angstrom": [[-4.037, 1.748, -5.040], [-5.333, -1.447, 3.771], [-0.105, 6.293, 2.267]],
  "species": ["S", "S", "Ti", "Ti", "S", "S", "Ti", "Ti", "S", "Ti", "Ti", "S"],
  "fractional_positions": [[0.500, 0.000, 0.750], [0.750, 0.500, 0.000], [0.000, 0.500, 0.250], [0.250, 0.000, 0.500], [0.500, 0.000, 0.250], [0.000, 0.750, 0.500], [0.500, 0.750, 0.000], [0.750, 0.000, 0.500], [0.000, 0.250, 0.500], [0.500, 0.250, 0.000], [0.000, 0.500, 0.750], [0.250, 0.500, 0.000]]
}



{
  "formula": "TiS",
  "functional": "PBE",
  "state": "optimized geometry",
  "mass_density_g_cm3": 2.509,
  "vol_a3_per_cell": 423,
  "formation_energy_uncorrected_mev_per_atom": -994,
  "dos_at_fermi_per_ev_atom": 0.881,
  "lattice_angstrom": [[7.508, 0.000, 0.000], [0.000, 7.508, 0.000], [0.000, 0.000, 7.508]],
  "species": ["S", "Ti", "S", "Ti", "Ti", "S", "Ti", "Ti", "S", "S", "S", "Ti", "S", "S", "Ti", "Ti"],
  "fractional_positions": [[0.321, 0.679, 0.321], [0.132, 0.868, 0.132], [0.679, 0.321, 0.321], [0.632, 0.368, 0.632], [0.368, 0.632, 0.632], [0.179, 0.179, 0.179], [0.868, 0.132, 0.132], [0.632, 0.632, 0.368], [0.821, 0.821, 0.179], [0.179, 0.821, 0.821], [0.679, 0.679, 0.679], [0.132, 0.132, 0.868], [0.321, 0.321, 0.679], [0.821, 0.179, 0.821], [0.368, 0.368, 0.368], [0.868, 0.868, 0.868]]
}



{
  "formula": "TiS",
  "functional": "PBE",
  "state": "optimized geometry",
  "mass_density_g_cm3": 3.245,
  "vol_a3_per_cell": 164,
  "formation_energy_uncorrected_mev_per_atom": -947,
  "dos_at_fermi_per_ev_atom": 1.408,
  "lattice_angstrom": [[-5.223, -1.555, -0.467], [1.301, -4.950, 1.929], [-0.971, 1.731, 5.097]],
  "species": ["S", "Ti", "Ti", "S", "S", "S", "Ti", "Ti"],
  "fractional_positions": [[0.750, 0.250, 0.750], [0.500, 0.500, 0.000], [0.000, 0.500, 0.500], [0.250, 0.750, 0.750], [0.750, 0.750, 0.250], [0.250, 0.250, 0.250], [0.000, 0.000, 0.000], [0.500, 0.000, 0.500]]
}